1.
A relaxed structure of MgTa2Sb, computed with PBE-GGA.

```
MgTa2Sb
1.0
-1.564 2.389 0.901
-0.678 -0.550 -2.864
-6.979 -5.598 2.728
Ta Sb Mg
2 1 1
Direct
0.000 0.000 0.508
0.000 0.000 0.992
0.500 0.500 0.750
0.500 0.500 0.250
```

Results
Its space group is Cmmm, No. 65. For the polymorph energy (0 for the lowest one), the calculation gives 0.3018 eV per atom.

---

2.
A relaxed structure of MgTaSb4, computed with PBE-GGA.

```
MgTaSb4
1.0
2.232 -4.167 3.808
-3.338 -1.923 4.691
-2.267 -5.631 0.006
Sb Mg Ta
4 1 1
Direct
0.376 0.873 0.376
0.376 0.376 0.376
0.376 0.376 0.873
0.873 0.376 0.376
0.000 0.000 0.000
0.750 0.750 0.750
```

Results
Its space group is F-43m, No. 216.

---

3.
A relaxed structure of MgTa2Sb, computed with PBE-GGA.

```
MgTa2Sb
1.0
4.741 0.000 0.000
0.000 3.004 -0.013
0.000 1.036 5.474
Sb Mg Ta
1 1 2
Direct
0.500 0.719 0.764
0.000 0.547 0.478
0.000 0.032 0.001
0.500 0.203 0.256
```

Results
Its space group is Pm, No. 6. For the polymorph energy (0 for the lowest one), the calculation gives 0.1728 eV per atom.

---

4.
A relaxed structure of MgTa2Sb, computed with PBE-GGA.

```
MgTa2Sb
1.0
4.792 0.000 0.000
0.000 2.987 0.007
0.000 0.647 5.498
Ta Mg Sb
2 1 1
Direct
0.000 0.944 0.014
0.000 0.556 0.486
0.500 0.250 0.250
0.500 0.750 0.750
```

Results
Its space group is P2/m, No. 10. For the polymorph energy (0 for the lowest one), the calculation gives 0.1565 eV per atom.

---

5.
A relaxed structure of MgTa2Sb, computed with PBE-GGA.

```
MgTa2Sb
1.0
1.025 1.402 4.442
1.708 4.383 0.782
-2.721 3.270 2.156
Mg Ta Sb
1 2 1
Direct
0.000 0.000 0.000
0.750 0.750 0.750
0.250 0.250 0.250
0.500 0.500 0.500
```

Results
Its space group is Fm-3m, No. 225. For the polymorph energy (0 for the lowest one), the calculation gives 0.4574 eV per atom.

---

6.
A relaxed structure of MgTaSb2, computed with PBE-GGA.

```
MgTaSb2
1.0
-2.186 2.048 -0.650
-1.056 -1.341 2.546
4.959 7.140 5.818
Sb Ta Mg
2 1 1
Direct
0.500 0.500 0.303
0.000 0.000 0.957
0.000 0.000 0.512
0.500 0.500 0.728
```

Results
Its space group is Cmm2, No. 35.

---

7.
A relaxed structure of MgTaSb2, computed with PBE-GGA.

```
MgTaSb2
1.0
-1.971 1.820 -1.794
-3.595 -1.343 2.588
0.915 4.598 3.658
Sb Mg Ta
2 1 1
Direct
0.500 0.500 0.305
0.000 0.000 0.953
0.500 0.500 0.781
0.000 0.000 0.461
```

Results
Its space group is Pmm2, No. 25.

---

8.
A relaxed structure of MgTa2Sb, computed with PBE-GGA.

```
MgTa2Sb
1.0
5.239 0.000 -0.005
4.340 2.935 -0.005
0.618 0.189 5.119
Ta Mg Sb
2 1 1
Direct
0.003 0.003 0.012
0.497 0.497 0.488
0.250 0.250 0.250
0.750 0.750 0.750
```

Results
Its space group is C2/m, No. 12. For the polymorph energy (0 for the lowest one), the calculation gives 0.1661 eV per atom.

---

9.
A relaxed structure of MgTa2Sb, computed with PBE-GGA.

```
MgTa2Sb
1.0
5.297 0.023 0.000
-2.092 4.866 0.000
0.000 0.000 2.997
Mg Ta Sb
1 2 1
Direct
0.500 0.000 0.500
0.500 0.500 0.000
0.000 0.000 0.000
0.000 0.500 0.500
```

Results
Its space group is Cmmm, No. 65. For the polymorph energy (0 for the lowest one), the calculation gives 0.2551 eV per atom.

---

10.
A relaxed structure of MgTaSb2, computed with PBE-GGA.

```
MgTaSb2
1.0
5.461 0.045 0.015
-0.326 5.452 0.015
0.557 0.596 3.022
Sb Ta Mg
2 1 1
Direct
0.500 0.500 0.000
0.000 0.000 0.000
0.500 0.000 0.500
0.000 0.500 0.500
```

Results
Its space group is C2/m, No. 12.

---

11.
A relaxed structure of MgTaSb2, computed with PBE-GGA.

```
MgTaSb2
1.0
-4.294 -2.291 1.258
0.084 -4.006 3.036
-1.763 0.366 4.694
Mg Ta Sb
1 1 2
Direct
0.500 0.500 0.500
0.750 0.750 0.750
0.000 0.000 0.000
0.250 0.250 0.250
```

Results
Its space group is F-43m, No. 216.

---

12.
A relaxed structure of MgTa2Sb, computed with PBE-GGA.

```
MgTa2Sb
1.0
4.553 0.000 0.000
0.000 4.097 0.000
0.000 0.000 4.097
Mg Ta Sb
1 2 1
Direct
0.500 0.500 0.000
0.000 0.500 0.500
0.000 0.000 0.000
0.500 0.000 0.500
```

Results
Its space group is P4/mmm, No. 123. For the polymorph energy (0 for the lowest one), the calculation gives 0.1164 eV per atom.

---

13.
A relaxed structure of MgTaSb, computed with PBE-GGA.

```
MgTaSb
1.0
-2.492 1.044 -3.794
1.179 -1.803 -4.129
-2.695 -3.241 -1.981
Sb Mg Ta
1 1 1
Direct
0.750 0.750 0.750
0.500 0.500 0.500
0.000 0.000 0.000
```

Results
Its space group is F-43m, No. 216. For the polymorph energy (0 for the lowest one), the calculation gives 0.7452 eV per atom.

---

14.
A relaxed structure of MgTa2Sb, computed with PBE-GGA.

```
MgTa2Sb
1.0
-1.029 0.749 -9.424
0.100 -2.308 -9.225
-3.086 -1.716 -8.830
Ta Sb Mg
2 1 1
Direct
0.996 0.996 0.996
0.257 0.257 0.257
0.743 0.743 0.743
0.504 0.504 0.504
```

Results
Its space group is R3m, No. 160. For the polymorph energy (0 for the lowest one), the calculation gives 0.1863 eV per atom.

---

15.
A relaxed structure of MgTa2Sb, computed with PBE-GGA.

```
MgTa2Sb
1.0
5.444 0.003 -0.004
2.310 4.930 0.004
-3.538 -2.999 2.850
Mg Ta Sb
1 2 1
Direct
0.750 0.250 0.500
0.002 0.002 0.000
0.498 0.498 0.000
0.250 0.750 0.500
```

Results
Its space group is Immm, No. 71. For the polymorph energy (0 for the lowest one), the calculation gives 0.0956 eV per atom.

---

16.
A relaxed structure of MgTa2Sb, computed with PBE-GGA.

```
MgTa2Sb
1.0
-3.208 1.627 -1.799
-2.046 -0.213 3.456
0.739 10.192 3.406
Ta Sb Mg
4 2 2
Direct
0.628 0.125 0.250
0.875 0.878 0.750
0.375 0.372 0.750
0.122 0.625 0.250
0.750 0.250 0.500
0.000 0.000 0.000
0.500 0.500 0.000
0.250 0.750 0.500
```

Results
Its space group is I-42d, No. 122. For the polymorph energy (0 for the lowest one), the calculation gives 0.4404 eV per atom.

---

17.
A relaxed structure of MgTaSb, computed with PBE-GGA.

```
MgTaSb
1.0
3.961 -0.045 0.534
0.003 4.476 0.360
-0.967 -0.570 7.090
Ta Mg Sb
2 2 2
Direct
0.250 0.750 0.494
0.750 0.250 0.506
0.749 0.750 0.185
0.251 0.250 0.815
0.750 0.750 0.781
0.250 0.250 0.219
```

Results
Its space group is Pmmn, No. 59. For the polymorph energy (0 for the lowest one), the calculation gives 0.0000 eV per atom.

---

18.
A relaxed structure of MgTa4Sb, computed with PBE-GGA.

```
MgTa4Sb
1.0
3.120 -4.453 1.282
-1.590 -5.094 -1.654
2.855 -2.656 -4.000
Sb Ta Mg
1 4 1
Direct
0.000 0.000 0.000
0.870 0.377 0.377
0.377 0.377 0.870
0.377 0.377 0.377
0.377 0.870 0.377
0.750 0.750 0.750
```

Results
Its space group is F-43m, No. 216.

---

19.
A relaxed structure of MgTaSb2, computed with PBE-GGA.

```
MgTaSb2
1.0
11.332 0.001 0.000
10.882 3.163 0.000
10.882 1.550 2.757
Mg Ta Sb
1 1 2
Direct
0.756 0.756 0.756
0.496 0.496 0.496
0.232 0.232 0.232
0.016 0.016 0.016
```

Results
Its space group is R3m, No. 160.

---

20.
A relaxed structure of MgTaSb2, computed with PBE-GGA.

```
MgTaSb2
1.0
4.854 0.000 0.000
0.000 4.856 0.000
0.000 0.000 3.644
Sb Mg Ta
2 1 1
Direct
0.500 0.500 0.000
0.000 0.000 0.000
0.000 0.500 0.500
0.500 0.000 0.500
```

Results
Its space group is P4/mmm, No. 123.

---

21.
A relaxed structure of MgTa2Sb, computed with PBE-GGA.

```
MgTa2Sb
1.0
-9.639 -1.330 -2.164
-9.341 -3.478 0.014
-9.920 -0.564 0.799
Sb Mg Ta
1 1 2
Direct
0.750 0.750 0.750
0.250 0.250 0.250
0.002 0.002 0.002
0.498 0.498 0.498
```

Results
Its space group is R-3m, No. 166. For the polymorph energy (0 for the lowest one), the calculation gives 0.3350 eV per atom.

---

22.
A relaxed structure of MgTaSb, computed with PBE-GGA.

```
MgTaSb
1.0
7.701 0.010 -0.008
6.918 2.985 -0.018
0.784 -0.640 2.906
Sb Mg Ta
1 1 1
Direct
0.315 0.315 0.685
0.017 0.017 0.983
0.668 0.668 0.332
```

Results
Its space group is Fmm2, No. 42. For the polymorph energy (0 for the lowest one), the calculation gives 0.3421 eV per atom.

---

23.
A relaxed structure of MgTaSb2, computed with PBE-GGA.

```
MgTaSb2
1.0
3.255 0.000 0.000
-0.922 3.122 0.000
0.000 0.000 9.005
Ta Mg Sb
1 1 2
Direct
0.500 0.500 0.250
0.500 0.500 0.750
0.000 0.000 0.481
0.000 0.000 0.019
```

Results
Its space group is Cmmm, No. 65.

---

24.
A relaxed structure of MgTaSb2, computed with PBE-GGA.

```
MgTaSb2
1.0
-5.044 -0.744 2.226
-4.270 -3.487 0.746
1.430 -2.043 4.536
Mg Sb Ta
1 2 1
Direct
0.762 0.762 0.795
0.019 0.019 0.933
0.230 0.230 0.321
0.489 0.489 0.452
```

Results
Its space group is Cm, No. 8.

---

25.
A relaxed structure of MgTaSb2, computed with PBE-GGA.

```
MgTaSb2
1.0
-2.126 4.395 -0.342
-1.410 -1.087 4.559
3.006 1.556 1.301
Sb Mg Ta
2 1 1
Direct
0.500 0.500 0.000
0.000 0.000 0.000
0.000 0.500 0.500
0.500 0.000 0.500
```

Results
Its space group is Cmmm, No. 65.

---

26.
A relaxed structure of MgTaSb, computed with PBE-GGA.

```
MgTaSb
1.0
-0.266 -1.620 -7.276
-1.889 -5.045 -5.158
-0.909 4.199 6.097
Ta Sb Mg
1 1 1
Direct
0.664 0.664 0.000
0.315 0.315 0.000
0.020 0.020 0.000
```

Results
Its space group is I4mm, No. 107. For the polymorph energy (0 for the lowest one), the calculation gives 0.3938 eV per atom.

---

27.
A relaxed structure of Mg3TaSb, computed with PBE-GGA.

```
Mg3TaSb
1.0
-2.273 -1.483 4.509
2.324 -4.706 -0.376
4.138 1.829 2.688
Mg Sb Ta
3 1 1
Direct
0.000 0.000 0.500
0.500 0.000 0.000
0.000 0.500 0.000
0.000 0.000 0.000
0.500 0.500 0.500
```

Results
Its space group is Pm-3m, No. 221. For the polymorph energy (0 for the lowest one), the calculation gives 0.0000 eV per atom.

---

28.
A relaxed structure of MgTaSbTe2, computed with PBE-GGA.

```
MgTaSbTe2
1.0
-1.299 2.904 4.364
-4.525 -2.890 0.576
2.690 -3.578 3.181
Ta Te Mg Sb
1 2 1 1
Direct
0.000 0.000 0.000
0.000 0.500 0.000
0.500 0.000 0.000
0.500 0.500 0.500
0.000 0.000 0.500
```

Results
Its space group is P4/mmm, No. 123. For the polymorph energy (0 for the lowest one), the calculation gives 0.0000 eV per atom.

---

29.
A relaxed structure of MgTaSbTe2, computed with PBE-GGA.

```
MgTaSbTe2
1.0
-1.127 -3.774 -3.512
-3.432 -2.134 3.394
-3.765 2.944 -1.956
Mg Te Sb Ta
1 2 1 1
Direct
0.000 0.000 0.000
0.500 0.000 0.000
0.000 0.500 0.000
0.000 0.000 0.500
0.500 0.500 0.500
```

Results
Its space group is P4/mmm, No. 123. For the polymorph energy (0 for the lowest one), the calculation gives 0.9071 eV per atom.

---

30.
A relaxed structure of MgTa2TlSb, computed with PBE-GGA.

```
MgTa2TlSb
1.0
5.257 0.000 0.000
0.000 5.257 0.000
0.000 0.000 4.941
Ta Mg Tl Sb
2 1 1 1
Direct
0.000 0.500 0.000
0.500 0.000 0.000
0.000 0.000 0.500
0.000 0.000 0.000
0.500 0.500 0.500
```

Results
Its space group is P4/mmm, No. 123.

---

| no. | formation energy from raw total energies (meV per atom) | theoretical density (g/cm3) | uncorrected energy (eV per cell) |
| --- | --- | --- | --- |
| 1 | 358 | 10.60 | -27.99 |
| 2 | 797 | 7.27 | -25.16 |
| 3 | 229 | 10.81 | -28.51 |
| 4 | 212 | 10.72 | -28.57 |
| 5 | 513 | 11.00 | -27.37 |
| 6 | 147 | 7.78 | -21.10 |
| 7 | 158 | 8.39 | -21.06 |
| 8 | 222 | 10.72 | -28.53 |
| 9 | 311 | 10.90 | -28.18 |
| 10 | 228 | 8.29 | -20.78 |
| 11 | 578 | 8.29 | -19.38 |
| 12 | 172 | 11.04 | -28.73 |
| 13 | 595 | 7.60 | -15.79 |
| 14 | 242 | 9.80 | -28.45 |
| 15 | 151 | 11.03 | -28.82 |
| 16 | 496 | 10.04 | -54.87 |
| 17 | -150 | 8.43 | -36.04 |
| 18 | 420 | 11.72 | -50.60 |
| 19 | 233 | 7.55 | -20.76 |
| 20 | 198 | 8.67 | -20.90 |
| 21 | 391 | 10.52 | -27.86 |
| 22 | 192 | 8.16 | -16.99 |
| 23 | 135 | 8.14 | -21.15 |
| 24 | 173 | 8.52 | -21.00 |
| 25 | 193 | 8.66 | -20.92 |
| 26 | 243 | 8.08 | -16.84 |
| 27 | 1183 | 4.28 | -14.84 |
| 28 | 256 | 6.04 | -22.57 |
| 29 | 1163 | 6.72 | -18.04 |
| 30 | 1622 | 8.66 | -23.68 |